Entry 1:
Entry from Alexandria: TlGa4Au2 after structural relaxation (PBE).

Cell lengths 4.2585, 7.8808, 17.6806 Å; angles 90.00, 90.00, 90.00 degrees
Last column: nearest neighbours and their distance in Å.
Element x y z (fractional)
Tl  0.7500  0.9751  0.6088  7 Ga 3.23-3.57, 4 Au 3.36-3.47
Tl  0.2500  0.0249  0.3912  7 Ga 3.23-3.57, 4 Au 3.36-3.47
Tl  0.2500  0.4751  0.8912  7 Ga 3.23-3.57, 4 Au 3.36-3.47
Tl  0.7500  0.5249  0.1088  7 Ga 3.23-3.57, 4 Au 3.36-3.47
Au  0.2500  0.6834  0.5406  6 Ga 2.68-2.72
Au  0.7500  0.3166  0.4594  6 Ga 2.68-2.72
Au  0.7500  0.1834  0.9594  6 Ga 2.68-2.72
Au  0.2500  0.8166  0.0406  6 Ga 2.68-2.72
Au  0.2500  0.9610  0.7638  7 Ga 2.62-2.77
Au  0.7500  0.0390  0.2362  7 Ga 2.62-2.77
Au  0.7500  0.4610  0.7362  7 Ga 2.62-2.77
Au  0.2500  0.5390  0.2638  7 Ga 2.62-2.77
Ga  0.2500  0.2676  0.6981  1 Ga 2.65, 3 Au 2.68-2.70
Ga  0.7500  0.7324  0.3019  1 Ga 2.65, 3 Au 2.68-2.70
Ga  0.7500  0.7676  0.8019  1 Ga 2.65, 3 Au 2.68-2.70
Ga  0.2500  0.2324  0.1981  1 Ga 2.65, 3 Au 2.68-2.70
Ga  0.2500  0.6630  0.6917  4 Au 2.67-2.77
Ga  0.7500  0.3370  0.3083  4 Au 2.67-2.77
Ga  0.7500  0.1630  0.8083  4 Au 2.67-2.77
Ga  0.2500  0.8370  0.1917  4 Au 2.67-2.77
Ga  0.2500  0.2526  0.5484  1 Ga 2.65, 2 Au 2.69
Ga  0.7500  0.7474  0.4516  1 Ga 2.65, 2 Au 2.69
Ga  0.7500  0.7526  0.9516  1 Ga 2.65, 2 Au 2.69
Ga  0.2500  0.2474  0.0484  1 Ga 2.65, 2 Au 2.69
Ga  0.2500  0.4975  0.4109  4 Au 2.62-2.72
Ga  0.7500  0.5025  0.5891  4 Au 2.62-2.72
Ga  0.7500  0.9975  0.0891  4 Au 2.62-2.72
Ga  0.2500  0.0025  0.9109  4 Au 2.62-2.72

Summary:
Raw total energy ... -3.132 eV per atom
Crystal system ... orthorhombic
ΔE_f ... -0.128 eV/atom

---

Entry 2:
Entry from Alexandria: Tl5GaAu3 after structural relaxation (PBE).

Cell lengths 7.9144, 8.8454, 8.8454 Å; angles 73.77, 66.74, 66.74 degrees
Last column: nearest neighbours and their distance in Å.
Element x y z (fractional)
Tl  0.6710  0.0669  0.5920  3 Au 2.95-3.28, 1 Ga 3.14
Tl  0.0000  0.7195  0.2805  3 Au 2.98-3.18
Tl  0.6036  0.1800  0.1800  4 Au 2.91-3.14
Tl  0.3448  0.4526  0.4526  3 Au 2.90-3.17
Tl  0.6552  0.5474  0.5474  3 Au 2.90-3.17
Tl  0.3964  0.8200  0.8200  4 Au 2.91-3.14
Tl  0.6710  0.5920  0.0669  3 Au 2.95-3.28, 1 Ga 3.14
Tl  0.0000  0.2805  0.7195  3 Au 2.98-3.18
Tl  0.3290  0.9331  0.4080  3 Au 2.95-3.28, 1 Ga 3.14
Tl  0.3290  0.4080  0.9331  3 Au 2.95-3.28, 1 Ga 3.14
Ga  0.8686  0.8657  0.8657  4 Au 2.58-2.76
Ga  0.1314  0.1343  0.1343  4 Au 2.58-2.76
Au  0.1489  0.3245  0.3245  1 Ga 2.76, 1 Au 2.80, 1 Tl 2.91
Au  0.8045  0.3142  0.3142  1 Ga 2.58, 1 Au 2.80
Au  0.0000  0.0000  0.0000  2 Ga 2.58
Au  0.5000  0.0000  0.0000  2 Ga 2.58
Au  0.8511  0.6755  0.6755  1 Ga 2.76, 1 Au 2.80, 1 Tl 2.91
Au  0.1955  0.6858  0.6858  1 Ga 2.58, 1 Au 2.80

Summary:
Raw total energy ... -2.719 eV per atom
Crystal system ... monoclinic
ΔE_f ... 0.024 eV/atom

---

Entry 3:
Entry from Alexandria: Tl5GaAu6 after structural relaxation (PBE).

Cell lengths 6.9168, 6.9723, 7.5703 Å; angles 62.58, 78.72, 64.86 degrees
Last column: nearest neighbours and their distance in Å.
Element x y z (fractional)
Tl  0.5000  0.1998  0.6003  6 Au 2.92-3.05
Tl  0.0000  0.6406  0.7187  6 Au 2.98-3.09
Tl  0.0000  0.3594  0.2813  6 Au 2.98-3.09
Tl  0.5000  0.5000  0.0000  6 Au 3.08-3.20
Tl  0.5000  0.8002  0.3997  6 Au 2.92-3.05
Au  0.7107  0.8290  0.0000  1 Ga 2.73, 1 Au 2.88, 4 Tl 2.99-3.05
Au  0.7965  0.0416  0.3175  1 Ga 2.61, 1 Tl 2.92
Au  0.2035  0.6410  0.3175  1 Ga 2.61, 1 Tl 2.92
Au  0.2035  0.9584  0.6825  1 Ga 2.61, 1 Tl 2.92
Au  0.7965  0.3590  0.6825  1 Ga 2.61, 1 Tl 2.92
Au  0.2893  0.1710  0.0000  1 Ga 2.73, 1 Au 2.88, 4 Tl 2.99-3.05
Ga  0.0000  0.0000  0.0000  6 Au 2.61-2.73

Summary:
Raw total energy ... -2.907 eV per atom
Crystal system ... monoclinic
ΔE_f ... -0.031 eV/atom

---

Entry 4:
Entry from Alexandria: Tl3GaAu3 after structural relaxation (PBE).

Cell lengths 7.2169, 7.5813, 7.7873 Å; angles 119.13, 97.75, 73.92 degrees
Last column: nearest neighbours and their distance in Å.
Element x y z (fractional)
Tl  0.3317  0.3839  0.0000  4 Au 3.06-3.28, 2 Ga 3.24-3.30, 1 Tl 3.37
Tl  0.5000  0.1964  0.3927  6 Au 2.88-3.12
Tl  0.5000  0.8036  0.6073  6 Au 2.88-3.12
Tl  0.0000  0.2757  0.5514  4 Au 2.99-3.04
Tl  0.0000  0.7243  0.4486  4 Au 2.99-3.04
Tl  0.6683  0.6161  0.0000  4 Au 3.06-3.28, 2 Ga 3.24-3.30, 1 Tl 3.37
Ga  0.9625  0.2067  0.0000  4 Au 2.56-2.73
Ga  0.0375  0.7933  0.0000  4 Au 2.56-2.73
Au  0.3042  0.9878  0.0000  2 Ga 2.56-2.73
Au  0.7317  0.4338  0.3019  1 Ga 2.61, 1 Tl 2.88
Au  0.7317  0.1319  0.6981  1 Ga 2.61, 1 Tl 2.88
Au  0.2683  0.5662  0.6981  1 Ga 2.61, 1 Tl 2.88
Au  0.2683  0.8681  0.3019  1 Ga 2.61, 1 Tl 2.88
Au  0.6958  0.0122  0.0000  2 Ga 2.56-2.73

Summary:
Raw total energy ... -2.900 eV per atom
Crystal system ... monoclinic
ΔE_f ... -0.049 eV/atom

---

Entry 5:
Entry from Alexandria: TlGa2Au4 after structural relaxation (PBE).

Cell lengths 4.0277, 9.3499, 15.6482 Å; angles 90.00, 90.00, 90.00 degrees
Last column: nearest neighbours and their distance in Å.
Element x y z (fractional)
Tl  0.7500  0.9870  0.6140  4 Au 3.09-3.17, 2 Ga 3.19
Tl  0.2500  0.0130  0.3860  4 Au 3.09-3.17, 2 Ga 3.19
Tl  0.2500  0.4870  0.8860  4 Au 3.09-3.17, 2 Ga 3.19
Tl  0.7500  0.5130  0.1140  4 Au 3.09-3.17, 2 Ga 3.19
Au  0.2500  0.2368  0.7542  2 Ga 2.58, 2 Au 2.79
Au  0.7500  0.7632  0.2458  2 Ga 2.58, 2 Au 2.79
Au  0.7500  0.7368  0.7458  2 Ga 2.58, 2 Au 2.79
Au  0.2500  0.2632  0.2542  2 Ga 2.58, 2 Au 2.79
Au  0.2500  0.5547  0.6874  3 Ga 2.75-2.80, 4 Au 2.79-2.88
Au  0.7500  0.4453  0.3126  3 Ga 2.75-2.80, 4 Au 2.79-2.88
Au  0.7500  0.0547  0.8126  3 Ga 2.75-2.80, 4 Au 2.79-2.88
Au  0.2500  0.9453  0.1874  3 Ga 2.75-2.80, 4 Au 2.79-2.88
Au  0.2500  0.2259  0.5676  4 Ga 2.74-2.93, 2 Au 2.87-2.92
Au  0.7500  0.7741  0.4324  4 Ga 2.74-2.93, 2 Au 2.87-2.92
Au  0.7500  0.7259  0.9324  4 Ga 2.74-2.93, 2 Au 2.87-2.92
Au  0.2500  0.2741  0.0676  4 Ga 2.74-2.93, 2 Au 2.87-2.92
Au  0.2500  0.4530  0.4437  3 Ga 2.63-2.74, 5 Au 2.82-2.88
Au  0.7500  0.5470  0.5563  3 Ga 2.63-2.74, 5 Au 2.82-2.88
Au  0.7500  0.9530  0.0563  3 Ga 2.63-2.74, 5 Au 2.82-2.88
Au  0.2500  0.0470  0.9437  3 Ga 2.63-2.74, 5 Au 2.82-2.88
Ga  0.2500  0.7454  0.5498  5 Au 2.74-2.80
Ga  0.7500  0.2546  0.4502  5 Au 2.74-2.80
Ga  0.7500  0.2454  0.9502  5 Au 2.74-2.80
Ga  0.2500  0.7546  0.0498  5 Au 2.74-2.80
Ga  0.2500  0.8548  0.8206  5 Au 2.58-2.75
Ga  0.7500  0.1452  0.1794  5 Au 2.58-2.75
Ga  0.7500  0.3548  0.6794  5 Au 2.58-2.75
Ga  0.2500  0.6452  0.3206  5 Au 2.58-2.75

Summary:
Raw total energy ... -3.150 eV per atom
Crystal system ... orthorhombic
ΔE_f ... -0.074 eV/atom

---

Entry 6:
Entry from Alexandria: TlGa3Au3 after structural relaxation (PBE).

Cell lengths 7.8943, 7.8943, 7.5076 Å; angles 58.28, 58.28, 60.00 degrees
Last column: nearest neighbours and their distance in Å.
Element x y z (fractional)
Tl  0.3334  0.3334  0.9997  6 Au 2.99-3.00, 6 Ga 3.30
Tl  0.6666  0.6666  0.0003  6 Au 2.99-3.00, 6 Ga 3.30
Ga  0.4269  0.7875  0.6786  4 Au 2.62-2.80
Ga  0.7875  0.1070  0.6786  4 Au 2.62-2.80
Ga  0.1070  0.4269  0.6786  4 Au 2.62-2.80
Ga  0.8930  0.5731  0.3214  4 Au 2.62-2.80
Ga  0.2125  0.8930  0.3214  4 Au 2.62-2.80
Ga  0.5731  0.2125  0.3214  4 Au 2.62-2.80
Au  0.2525  0.5907  0.2363  4 Ga 2.62-2.80
Au  0.9206  0.2525  0.2363  4 Ga 2.62-2.80
Au  0.5907  0.9206  0.2363  4 Ga 2.62-2.80
Au  0.4093  0.0794  0.7637  4 Ga 2.62-2.80
Au  0.0794  0.7475  0.7637  4 Ga 2.62-2.80
Au  0.7475  0.4093  0.7637  4 Ga 2.62-2.80

Summary:
Energy above the lowest structure with this stoichiometry ... 0.0 meV/atom
Raw total energy ... -3.105 eV per atom
Crystal system ... trigonal
ΔE_f ... -0.065 eV/atom

---

Entry 7:
Entry from Alexandria: TlGaAu4 after structural relaxation (PBE).

Cell lengths 5.6247, 5.6247, 5.6247 Å; angles 60.00, 60.00, 60.00 degrees
Last column: nearest neighbours and their distance in Å.
Element x y z (fractional)
Tl  0.2500  0.2500  0.2500  12 Au 3.30, 4 Ga 3.44
Au  0.6252  0.6252  0.1244  6 Au 2.81-2.82
Au  0.6252  0.1244  0.6252  6 Au 2.81-2.82
Au  0.6252  0.6252  0.6252  6 Au 2.81-2.82
Au  0.1244  0.6252  0.6252  6 Au 2.81-2.82
Ga  0.0000  0.0000  0.0000  12 Au 3.30, 4 Tl 3.44

Summary:
Energy above the lowest structure with this stoichiometry ... 108.8 meV/atom
Raw total energy ... -3.036 eV per atom
Crystal system ... cubic
ΔE_f ... 0.048 eV/atom

---

Entry 8:
Entry from Alexandria: TlGa2Au2 after structural relaxation (PBE).

Cell lengths 4.2560, 4.2560, 6.7639 Å; angles 71.66, 71.66, 90.00 degrees
Last column: nearest neighbours and their distance in Å.
Element x y z (fractional)
Tl  0.0000  0.0000  0.0000  8 Au 3.33, 8 Ga 3.70
Au  0.3829  0.3829  0.2343  4 Ga 2.67, 1 Au 2.84
Au  0.6171  0.6171  0.7657  4 Ga 2.67, 1 Au 2.84
Ga  0.7500  0.2500  0.5000  4 Au 2.67
Ga  0.2500  0.7500  0.5000  4 Au 2.67

Summary:
Energy above the lowest structure with this stoichiometry ... 14.8 meV/atom
Raw total energy ... -3.124 eV per atom
Crystal system ... tetragonal
ΔE_f ... -0.129 eV/atom

---

Entry 9:
Entry from Alexandria: TlGaAu after structural relaxation (PBE).

Cell lengths 4.3882, 4.3696, 4.3696 Å; angles 120.00, 90.00, 90.00 degrees
Last column: nearest neighbours and their distance in Å.
Element x y z (fractional)
Tl  0.6793  0.6667  0.3333  3 Au 3.07, 3 Ga 3.17
Au  0.0796  0.0000  0.0000  3 Ga 2.62
Ga  0.2411  0.3333  0.6667  3 Au 2.62

Summary:
Energy above the lowest structure with this stoichiometry ... 77.2 meV/atom
Raw total energy ... -2.932 eV per atom
Crystal system ... trigonal
ΔE_f ... -0.042 eV/atom

---

Entry 10:
Entry from Alexandria: Tl2Ga12Au7 after structural relaxation (PBE).

Cell lengths 4.0904, 10.9201, 10.9200 Å; angles 120.00, 90.00, 90.00 degrees
Last column: nearest neighbours and their distance in Å.
Element x y z (fractional)
Tl  0.5000  0.0000  0.0000  6 Au 3.33, 6 Ga 3.42
Tl  0.0000  0.6667  0.3333  6 Au 3.31, 9 Ga 3.49-3.66
Ga  0.5000  0.8997  0.6129  4 Au 2.66-2.78, 2 Ga 2.98
Ga  0.5000  0.7132  0.1003  4 Au 2.66-2.78, 2 Ga 2.98
Ga  0.5000  0.3871  0.2868  4 Au 2.66-2.78, 2 Ga 2.98
Ga  0.5000  0.2404  0.7929  5 Au 2.80-2.92, 2 Ga 3.13
Ga  0.5000  0.5524  0.7596  5 Au 2.80-2.92, 2 Ga 3.14
Ga  0.5000  0.2071  0.4476  5 Au 2.80-2.92, 2 Ga 3.14
Ga  0.0000  0.0528  0.5421  4 Au 2.66-2.71
Ga  0.0000  0.4893  0.9472  4 Au 2.66-2.71
Ga  0.0000  0.4579  0.5107  4 Au 2.66-2.71
Ga  0.0000  0.7788  0.7279  4 Au 2.65-2.72
Ga  0.0000  0.9491  0.2212  4 Au 2.65-2.72
Ga  0.0000  0.2721  0.0509  4 Au 2.65-2.72
Au  0.0000  0.3333  0.6667  9 Ga 2.66-2.92
Au  0.0000  0.0527  0.7898  7 Ga 2.65-2.88
Au  0.0000  0.7371  0.9473  7 Ga 2.65-2.88
Au  0.0000  0.2102  0.2629  7 Ga 2.65-2.88
Au  0.5000  0.6311  0.5515  7 Ga 2.66-2.80
Au  0.5000  0.9204  0.3689  7 Ga 2.66-2.80
Au  0.5000  0.4485  0.0796  7 Ga 2.66-2.80

Summary:
Raw total energy ... -3.199 eV per atom
Crystal system ... hexagonal
ΔE_f ... -0.151 eV/atom

---

In the order shown, the computed D(E_F) values come out to 9.6; 5.5; 3.2; 4.4; 6.4; 4.1; 2.8; 1.9; 1.2; 9.3 states/eV/cell.